No. 1
{
  "formula": "CsSrNb",
  "functional": "PBE",
  "state": "relaxed",
  "spacegroup": "F-43m (216)",
  "delta_e_f_ev_per_atom": 1.48,
  "e_above_lowest_polymorph_mev_per_atom": 1020.4,
  "total_energy_ev_per_atom": -2.718,
  "lattice_angstrom": [[4.8351, -2.1484, 3.0582], [-0.5103, -1.4053, 5.9255], [0.1407, -5.8454, 1.7772]],
  "species": ["Cs", "Sr", "Nb"],
  "frac_coords": [[0.2500, 0.2500, 0.2500], [0.7500, 0.7500, 0.7500], [0.5000, 0.5000, 0.5000]]
}

***

No. 2
{
  "formula": "CsSrNb",
  "functional": "PBE",
  "state": "relaxed",
  "spacegroup": "P1 (1)",
  "delta_e_f_ev_per_atom": 0.46,
  "e_above_lowest_polymorph_mev_per_atom": 0.0,
  "total_energy_ev_per_atom": -3.739,
  "lattice_angstrom": [[3.7607, 0.0088, 0.0078], [-0.0068, 3.7470, 0.0077], [-3.7190, -1.8960, 18.4484]],
  "species": ["Cs", "Cs", "Sr", "Sr", "Nb", "Nb"],
  "frac_coords": [[0.7952, 0.4407, 0.2784], [0.5512, 0.5832, 0.5220], [0.0714, 0.8159, 0.0545], [0.2707, 0.1642, 0.7460], [0.8953, 0.7263, 0.8740], [0.4466, 0.2521, 0.9266]]
}

***

No. 3
{
  "formula": "CsSrNb2Tc",
  "functional": "PBE",
  "state": "relaxed",
  "spacegroup": "P4/mmm (123)",
  "delta_e_f_ev_per_atom": 2.36,
  "total_energy_ev_per_atom": -4.249,
  "lattice_angstrom": [[5.1473, 0.0000, 0.0000], [0.0000, 5.0302, 0.0000], [0.0000, 0.0000, 5.1473]],
  "species": ["Cs", "Sr", "Nb", "Nb", "Tc"],
  "frac_coords": [[0.0000, 0.0000, 0.0000], [0.5000, 0.5000, 0.5000], [0.0000, 0.0000, 0.5000], [0.5000, 0.0000, 0.0000], [0.0000, 0.5000, 0.0000]]
}

***

No. 4
{
  "formula": "Cs2SrYNb",
  "functional": "PBE",
  "state": "relaxed",
  "spacegroup": "P4/mmm (123)",
  "delta_e_f_ev_per_atom": 1.71,
  "total_energy_ev_per_atom": -2.279,
  "lattice_angstrom": [[6.6531, 0.0000, 0.0000], [0.0000, 5.7465, 0.0000], [0.0000, 0.0000, 6.6531]],
  "species": ["Cs", "Cs", "Y", "Nb", "Sr"],
  "frac_coords": [[0.0000, 0.0000, 0.5000], [0.5000, 0.0000, 0.0000], [0.5000, 0.5000, 0.5000], [0.0000, 0.5000, 0.0000], [0.0000, 0.0000, 0.0000]]
}

***

No. 5
{
  "formula": "CsSrNbZn2",
  "functional": "PBE",
  "state": "relaxed",
  "spacegroup": "P4/mmm (123)",
  "delta_e_f_ev_per_atom": 1.74,
  "total_energy_ev_per_atom": -1.295,
  "lattice_angstrom": [[5.8971, 0.0000, 0.0000], [0.0000, 6.9201, 0.0000], [0.0000, 0.0000, 5.8971]],
  "species": ["Cs", "Sr", "Nb", "Zn", "Zn"],
  "frac_coords": [[0.0000, 0.0000, 0.0000], [0.0000, 0.5000, 0.0000], [0.5000, 0.5000, 0.5000], [0.0000, 0.0000, 0.5000], [0.5000, 0.0000, 0.0000]]
}

***

No. 6
{
  "formula": "CsTaNb2",
  "functional": "PBE",
  "state": "relaxed",
  "spacegroup": "Fm-3m (225)",
  "delta_e_f_ev_per_atom": 1.59,
  "e_above_lowest_polymorph_mev_per_atom": 0.0,
  "total_energy_ev_per_atom": -6.622,
  "lattice_angstrom": [[-2.0211, -4.2983, 1.3446], [0.7300, -1.7525, 4.5568], [-3.7212, -0.0705, 3.2428]],
  "species": ["Cs", "Nb", "Nb", "Ta"],
  "frac_coords": [[0.0000, 0.0000, 0.0000], [0.2500, 0.2500, 0.2500], [0.7500, 0.7500, 0.7500], [0.5000, 0.5000, 0.5000]]
}

***

No. 7
{
  "formula": "CsTa3Nb",
  "functional": "PBE",
  "state": "relaxed",
  "spacegroup": "Pm-3m (221)",
  "delta_e_f_ev_per_atom": 3.21,
  "e_above_lowest_polymorph_mev_per_atom": 1302.2,
  "total_energy_ev_per_atom": -6.087,
  "lattice_angstrom": [[4.9724, 0.0000, 0.0000], [0.0000, 4.9724, 0.0000], [0.0000, 0.0000, 4.9724]],
  "species": ["Cs", "Nb", "Ta", "Ta", "Ta"],
  "frac_coords": [[0.0000, 0.0000, 0.0000], [0.5000, 0.5000, 0.5000], [0.0000, 0.5000, 0.0000], [0.0000, 0.0000, 0.5000], [0.5000, 0.0000, 0.0000]]
}

***

No. 8
{
  "formula": "CsTa3Nb",
  "functional": "PBE",
  "state": "relaxed",
  "spacegroup": "Pm-3m (221)",
  "delta_e_f_ev_per_atom": 1.91,
  "e_above_lowest_polymorph_mev_per_atom": 0.0,
  "total_energy_ev_per_atom": -7.389,
  "lattice_angstrom": [[5.1162, 0.0000, 0.0000], [0.0000, 5.1162, 0.0000], [0.0000, 0.0000, 5.1162]],
  "species": ["Cs", "Nb", "Ta", "Ta", "Ta"],
  "frac_coords": [[0.5000, 0.5000, 0.5000], [0.0000, 0.0000, 0.0000], [0.0000, 0.5000, 0.0000], [0.0000, 0.0000, 0.5000], [0.5000, 0.0000, 0.0000]]
}

***

No. 9
{
  "formula": "CsTaNb2",
  "functional": "PBE",
  "state": "relaxed",
  "spacegroup": "I-42d (122)",
  "delta_e_f_ev_per_atom": 1.93,
  "e_above_lowest_polymorph_mev_per_atom": 335.7,
  "total_energy_ev_per_atom": -6.286,
  "lattice_angstrom": [[-2.6496, 4.1490, -1.2444], [-4.2445, -2.1958, 1.7163], [-1.8834, 4.4791, 8.5841]],
  "species": ["Cs", "Cs", "Nb", "Nb", "Nb", "Nb", "Ta", "Ta"],
  "frac_coords": [[0.5000, 0.5000, 0.0000], [0.2500, 0.7500, 0.5000], [0.9778, 0.1250, 0.2500], [0.7722, 0.6250, 0.2500], [0.3750, 0.0222, 0.7500], [0.8750, 0.2278, 0.7500], [0.0000, 0.0000, 0.0000], [0.7500, 0.2500, 0.5000]]
}

***

No. 10
{
  "formula": "Cs3TaNb",
  "functional": "PBE",
  "state": "relaxed",
  "spacegroup": "Pm-3m (221)",
  "delta_e_f_ev_per_atom": 2.72,
  "e_above_lowest_polymorph_mev_per_atom": 0.0,
  "total_energy_ev_per_atom": -2.178,
  "lattice_angstrom": [[-1.7426, 0.2462, 5.8585], [-3.6614, -4.8194, -0.8866], [4.5800, -3.7592, 1.5203]],
  "species": ["Cs", "Cs", "Cs", "Nb", "Ta"],
  "frac_coords": [[0.0000, 0.5000, 0.0000], [0.0000, 0.0000, 0.5000], [0.5000, 0.0000, 0.0000], [0.0000, 0.0000, 0.0000], [0.5000, 0.5000, 0.5000]]
}

***

No. 11
{
  "formula": "CsTaNb3",
  "functional": "PBE",
  "state": "relaxed",
  "spacegroup": "Pm-3m (221)",
  "delta_e_f_ev_per_atom": 1.73,
  "total_energy_ev_per_atom": -6.856,
  "lattice_angstrom": [[-2.1244, 2.8504, -3.7064], [1.5006, -3.4400, -3.5056], [-4.4283, -2.5332, 0.5901]],
  "species": ["Cs", "Nb", "Nb", "Nb", "Ta"],
  "frac_coords": [[0.5000, 0.5000, 0.5000], [0.0000, 0.5000, 0.0000], [0.0000, 0.0000, 0.5000], [0.5000, 0.0000, 0.0000], [0.0000, 0.0000, 0.0000]]
}

***

No. 12
{
  "formula": "CsTaNbTc2",
  "functional": "PBE",
  "state": "relaxed",
  "spacegroup": "P4/mmm (123)",
  "delta_e_f_ev_per_atom": 2.52,
  "total_energy_ev_per_atom": -6.185,
  "lattice_angstrom": [[4.7797, 0.0000, 0.0000], [0.0000, 4.7797, 0.0000], [0.0000, 0.0000, 5.3113]],
  "species": ["Cs", "Nb", "Tc", "Tc", "Ta"],
  "frac_coords": [[0.0000, 0.0000, 0.5000], [0.0000, 0.0000, 0.0000], [0.0000, 0.5000, 0.0000], [0.5000, 0.0000, 0.0000], [0.5000, 0.5000, 0.5000]]
}